# 1
Entry from Alexandria via LeMat-Bulk: Be2ZnCo2 at its PBEsol-relaxed geometry (SCAN).

## Properties
energy above the lowest structure with this stoichiometry: 455 meV per atom

abc: 2.8503 2.8503 6.5144
angles: 102.64 102.64 90.00
With the nearest neighbours (Å) after each atom.
Fractional positions:
Be  0.2500  0.7500  0.5000  4 Be 2.02, 4 Co 2.20
Be  0.7500  0.2500  0.5000  4 Be 2.02, 4 Co 2.20
Co  0.3857  0.3857  0.7715  4 Be 2.20, 4 Zn 2.46
Co  0.6143  0.6143  0.2285  4 Be 2.20, 4 Zn 2.46
Zn  0.0000  0.0000  0.0000  8 Co 2.46



# 2
Entry from Alexandria via LeMat-Bulk: Be4ZnCo at its PBEsol-relaxed geometry (SCAN).

abc: 4.1886 4.1886 4.1886
angles: 60.00 60.00 60.00
With the nearest neighbours (Å) after each atom.
Fractional positions:
Be  0.3760  0.3760  0.8721  6 Be 2.08-2.11
Be  0.8721  0.3760  0.3760  6 Be 2.08-2.11
Be  0.3760  0.3760  0.3760  6 Be 2.08-2.11
Be  0.3760  0.8721  0.3760  6 Be 2.08-2.11
Zn  0.0000  0.0000  0.0000  12 Be 2.46, 4 Co 2.57
Co  0.7500  0.7500  0.7500  12 Be 2.45, 4 Zn 2.57



# 3
Entry from Alexandria via LeMat-Bulk: BeZn2Co at its PBEsol-relaxed geometry (SCAN).

abc: 3.9638 3.9638 3.9638
angles: 60.00 60.00 60.00
With the nearest neighbours (Å) after each atom.
Fractional positions:
Co  0.2500  0.2500  0.2500  4 Zn 2.43, 4 Be 2.43
Zn  0.0000  0.0000  0.0000  4 Zn 2.43, 4 Co 2.43
Zn  0.7500  0.7500  0.7500  4 Be 2.43, 4 Zn 2.43
Be  0.5000  0.5000  0.5000  4 Co 2.43, 4 Zn 2.43



# 4
Entry from Alexandria via LeMat-Bulk: BeZnCo2 at its PBEsol-relaxed geometry (SCAN).

## Properties
energy above the lowest structure with this stoichiometry: 0 meV per atom

abc: 2.9209 3.7349 3.8031
angles: 90.00 90.00 90.00
With the nearest neighbours (Å) after each atom.
Fractional positions:
Co  0.5000  0.0000  0.5000  4 Be 2.37, 4 Co 2.40
Co  0.0000  0.0000  0.0000  4 Zn 2.37, 4 Co 2.40
Be  0.0000  0.5000  0.5000  4 Co 2.37, 4 Zn 2.40
Zn  0.5000  0.5000  0.0000  4 Co 2.37, 4 Be 2.40



# 5
Entry from Alexandria via LeMat-Bulk: Be2ZnCo at its PBEsol-relaxed geometry (SCAN).

abc: 2.6735 2.6735 5.3454
angles: 90.00 90.00 90.00
With the nearest neighbours (Å) after each atom.
Fractional positions:
Co  0.5000  0.5000  0.0000  8 Be 2.20
Zn  0.5000  0.5000  0.5000  8 Be 2.45, 2 Co 2.67, 4 Zn 2.67
Be  0.0000  0.0000  0.7902  4 Co 2.20, 1 Be 2.24, 4 Zn 2.45
Be  0.0000  0.0000  0.2098  4 Co 2.20, 1 Be 2.24, 4 Zn 2.45



# 6
Entry from Alexandria via LeMat-Bulk: BeZnCo2 at its PBEsol-relaxed geometry (SCAN).

## Properties
energy above the lowest structure with this stoichiometry: 22 meV per atom

abc: 2.6527 2.6527 5.6376
angles: 90.00 90.00 90.00
With the nearest neighbours (Å) after each atom.
Fractional positions:
Zn  0.5000  0.5000  0.0000  8 Co 2.47, 4 Zn 2.65
Co  0.0000  0.0000  0.7155  4 Be 2.23, 1 Co 2.43, 4 Zn 2.47
Co  0.0000  0.0000  0.2845  4 Be 2.23, 1 Co 2.43, 4 Zn 2.47
Be  0.5000  0.5000  0.5000  8 Co 2.23



# 7
Entry from Alexandria via LeMat-Bulk: BeZn2Co at its PBEsol-relaxed geometry (SCAN).

abc: 2.5481 3.5790 5.0323
angles: 90.00 104.47 90.00
With the nearest neighbours (Å) after each atom.
Fractional positions:
Zn  0.6842  0.5000  0.2570  2 Be 2.27, 1 Co 2.52
Zn  0.0543  0.0000  0.9927  1 Be 2.19
Be  0.8453  0.0000  0.5437  3 Zn 2.19-2.27, 4 Co 2.32-2.35
Co  0.4162  0.5000  0.7066  4 Be 2.32-2.35, 4 Zn 2.52-2.60, 2 Co 2.55



# 8
Entry from Alexandria via LeMat-Bulk: Be2ZnCo at its PBEsol-relaxed geometry (SCAN).

abc: 3.8099 3.8099 3.8099
angles: 60.00 60.00 60.00
With the nearest neighbours (Å) after each atom.
Fractional positions:
Be  0.0000  0.0000  0.0000  4 Be 2.33, 4 Zn 2.33
Be  0.7500  0.7500  0.7500  4 Co 2.33, 4 Be 2.33
Zn  0.2500  0.2500  0.2500  4 Co 2.33, 4 Be 2.33
Co  0.5000  0.5000  0.5000  4 Be 2.33, 4 Zn 2.33



# 9
Entry from Alexandria via LeMat-Bulk: Be2ZnCo2 at its PBEsol-relaxed geometry (SCAN).

## Properties
energy above the lowest structure with this stoichiometry: 0 meV per atom

abc: 2.6808 5.9035 5.9035
angles: 90.00 90.00 90.00
With the nearest neighbours (Å) after each atom.
Fractional positions:
Zn  0.0000  0.0000  0.0000  4 Be 2.33, 8 Co 2.58
Zn  0.0000  0.5000  0.5000  4 Be 2.33, 8 Co 2.58
Co  0.5000  0.8354  0.3354  6 Be 2.19-2.20
Co  0.5000  0.6646  0.8354  6 Be 2.19-2.20
Co  0.5000  0.3354  0.1646  6 Be 2.19-2.20
Co  0.5000  0.1646  0.6646  6 Be 2.19-2.20
Be  0.0000  0.1268  0.3732  1 Be 2.12, 6 Co 2.19-2.20, 2 Zn 2.33
Be  0.0000  0.3732  0.8732  1 Be 2.12, 6 Co 2.19-2.20, 2 Zn 2.33
Be  0.0000  0.6268  0.1268  1 Be 2.12, 6 Co 2.19-2.20, 2 Zn 2.33
Be  0.0000  0.8732  0.6268  1 Be 2.12, 6 Co 2.19-2.20, 2 Zn 2.33



# 10
Entry from Alexandria via LeMat-Bulk: Zr2BeCo at its PBEsol-relaxed geometry (SCAN).

abc: 3.1705 3.1705 6.1198
angles: 90.00 90.00 90.00
With the nearest neighbours (Å) after each atom.
Fractional positions:
Be  0.5000  0.5000  0.0000  8 Zr 2.72
Co  0.5000  0.5000  0.5000  8 Zr 2.71
Zr  0.0000  0.0000  0.2517  4 Co 2.71, 4 Be 2.72
Zr  0.0000  0.0000  0.7483  4 Co 2.71, 4 Be 2.72



# 11
Entry from Alexandria via LeMat-Bulk: ZrBeCo2 at its PBEsol-relaxed geometry (SCAN).

abc: 2.7606 3.9038 4.6918
angles: 90.00 103.17 90.00
With the nearest neighbours (Å) after each atom.
Fractional positions:
Zr  0.5153  0.0000  0.5131  4 Co 2.41-2.65
Be  0.1259  0.5000  0.7959  4 Co 2.19-2.30
Co  0.1000  0.0000  0.0016  2 Be 2.19, 1 Zr 2.41, 2 Co 2.42
Co  0.7587  0.5000  0.1894  2 Be 2.23-2.30, 2 Co 2.42



# 12
Entry from Alexandria via LeMat-Bulk: Zr2BeCo at its PBEsol-relaxed geometry (SCAN).

abc: 3.7170 3.7170 5.1579
angles: 111.12 111.12 90.00
With the nearest neighbours (Å) after each atom.
Fractional positions:
Co  0.2500  0.7500  0.5000  8 Zr 2.63-2.89, 4 Be 2.89
Zr  0.0000  0.0000  0.0000  4 Be 2.63, 4 Zr 2.89, 4 Co 2.89
Zr  0.7500  0.2500  0.5000  4 Co 2.63, 4 Zr 2.89, 4 Be 2.89
Be  0.5000  0.5000  0.0000  8 Zr 2.63-2.89, 4 Co 2.89



# 13
Entry from Alexandria via LeMat-Bulk: Zr2BeCo at its PBEsol-relaxed geometry (SCAN).

abc: 3.3097 3.8517 5.1940
angles: 90.00 108.58 90.00
With the nearest neighbours (Å) after each atom.
Fractional positions:
Zr  0.3900  0.5000  0.7799  3 Co 2.61-2.91, 4 Be 2.63
Zr  0.1088  0.0000  0.2177  4 Co 2.65, 3 Be 2.66-2.84
Co  0.6850  0.5000  0.3701  2 Be 2.34, 2 Zr 2.61
Be  0.8209  0.0000  0.6418  2 Co 2.34



# 14
Entry from Alexandria via LeMat-Bulk: ZrBe2Co at its PBEsol-relaxed geometry (SCAN).

abc: 3.5935 3.5935 4.8387
angles: 68.20 68.20 60.00
With the nearest neighbours (Å) after each atom.
Fractional positions:
Zr  0.0000  0.0000  0.0000  8 Be 2.66-2.69
Be  0.2026  0.2026  0.3922  3 Co 2.13, 3 Be 2.28
Be  0.7974  0.7974  0.6078  3 Co 2.13, 3 Be 2.28
Co  0.5000  0.5000  0.5000  6 Be 2.13



# 15
Entry from Alexandria via LeMat-Bulk: ZrBeCo2 at its PBEsol-relaxed geometry (SCAN).

abc: 4.1427 4.1427 4.1427
angles: 60.00 60.00 60.00
With the nearest neighbours (Å) after each atom.
Fractional positions:
Be  0.5000  0.5000  0.5000  4 Zr 2.54, 4 Co 2.54
Zr  0.7500  0.7500  0.7500  4 Be 2.54, 4 Co 2.54
Co  0.0000  0.0000  0.0000  4 Zr 2.54, 4 Co 2.54
Co  0.2500  0.2500  0.2500  4 Be 2.54, 4 Co 2.54



# 16
Entry from Alexandria via LeMat-Bulk: Be12Cr at its PBEsol-relaxed geometry (SCAN).

abc: 4.1009 5.4604 5.4604
angles: 81.89 67.94 67.94
With the nearest neighbours (Å) after each atom.
Fractional positions:
Be  0.0000  0.0000  0.5000  10 Be 2.05-2.18
Be  0.5000  0.2103  0.7897  8 Be 2.08-2.27
Be  0.5000  0.5000  0.0000  10 Be 2.05-2.18
Be  0.6521  0.3479  0.3479  9 Be 2.18-2.34
Be  0.0000  0.3479  0.6521  9 Be 2.18-2.34
Be  0.3479  0.6521  0.6521  9 Be 2.18-2.34
Be  0.0000  0.5000  0.0000  10 Be 2.05-2.18
Be  0.5000  0.0000  0.5000  10 Be 2.05-2.18
Be  0.2897  0.2103  0.2103  8 Be 2.08-2.27
Be  0.5000  0.7897  0.2103  8 Be 2.08-2.27
Be  0.0000  0.6521  0.3479  9 Be 2.18-2.34
Be  0.7103  0.7897  0.7897  8 Be 2.08-2.27
Cr  0.0000  0.0000  0.0000  20 Be 2.49-2.73



# 17
Entry from Alexandria via LeMat-Bulk: Be7Cr6 at its PBEsol-relaxed geometry (SCAN).

abc: 4.2405 4.2405 7.9824
angles: 74.60 74.60 60.00
With the nearest neighbours (Å) after each atom.
Fractional positions:
Be  0.5000  0.5000  0.5000  6 Be 2.13
Be  0.5932  0.0865  0.7271  5 Be 2.09-2.15
Be  0.5932  0.5932  0.7271  5 Be 2.09-2.15
Be  0.4068  0.4068  0.2729  5 Be 2.09-2.15
Be  0.0865  0.5932  0.7271  5 Be 2.09-2.15
Be  0.4068  0.9135  0.2729  5 Be 2.09-2.15
Be  0.9135  0.4068  0.2729  5 Be 2.09-2.15
Cr  0.0461  0.0461  0.8617  2 Cr 2.10-2.30, 6 Be 2.35
Cr  0.9539  0.9539  0.1383  2 Cr 2.10-2.30, 6 Be 2.35
Cr  0.1470  0.1470  0.5589  1 Cr 2.30, 12 Be 2.48-2.49
Cr  0.6664  0.6664  0.0009  6 Be 2.41, 9 Cr 2.45-2.67
Cr  0.8530  0.8530  0.4411  1 Cr 2.30, 12 Be 2.48-2.49
Cr  0.3336  0.3336  0.9991  6 Be 2.41, 9 Cr 2.45-2.67



# 18
Entry from Alexandria via LeMat-Bulk: Be2Cr at its PBEsol-relaxed geometry (SCAN).

## Properties
energy above the lowest structure with this stoichiometry: 208 meV per atom

abc: 2.5063 3.5258 3.5258
angles: 120.00 90.00 90.00
With the nearest neighbours (Å) after each atom.
Fractional positions:
Be  0.5000  0.3333  0.6667  3 Be 2.04
Be  0.5000  0.6667  0.3333  3 Be 2.04
Cr  0.0000  0.0000  0.0000  12 Be 2.39, 2 Cr 2.51



# 19
Entry from Alexandria via LeMat-Bulk: BeCr at its PBEsol-relaxed geometry (SCAN).

abc: 2.2240 4.0351 4.4494
angles: 90.00 90.00 90.00
With the nearest neighbours (Å) after each atom.
Fractional positions:
Be  0.0000  0.0000  0.5887  6 Be 2.22-2.44, 4 Cr 2.44
Be  0.5000  0.5000  0.4113  6 Be 2.22-2.44, 4 Cr 2.44
Cr  0.0000  0.5000  0.8983  6 Cr 2.22-2.47, 4 Be 2.44
Cr  0.5000  0.0000  0.1017  6 Cr 2.22-2.47, 4 Be 2.44



# 20
Entry from Alexandria via LeMat-Bulk: BeCr3 at its PBEsol-relaxed geometry (SCAN).

abc: 3.8894 3.8894 3.8894
angles: 90.00 90.00 90.00
With the nearest neighbours (Å) after each atom.
Fractional positions:
Cr  0.5000  0.0000  0.0000  2 Be 1.94
Cr  0.0000  0.0000  0.5000  2 Be 1.94
Cr  0.0000  0.5000  0.0000  2 Be 1.94
Be  0.0000  0.0000  0.0000  6 Cr 1.94



# 21
Entry from Alexandria via LeMat-Bulk: Be3Cr at its PBEsol-relaxed geometry (SCAN).

abc: 3.2477 3.2477 3.2477
angles: 90.00 90.00 90.00
With the nearest neighbours (Å) after each atom.
Fractional positions:
Cr  0.0000  0.0000  0.0000  12 Be 2.30
Be  0.5000  0.0000  0.5000  4 Cr 2.30, 8 Be 2.30
Be  0.5000  0.5000  0.0000  8 Be 2.30, 4 Cr 2.30
Be  0.0000  0.5000  0.5000  8 Be 2.30, 4 Cr 2.30



# 22
Entry from Alexandria via LeMat-Bulk: BeCr3 at its PBEsol-relaxed geometry (SCAN).

abc: 2.8317 3.8508 4.5238
angles: 115.19 108.24 90.00
With the nearest neighbours (Å) after each atom.
Fractional positions:
Be  0.0000  0.0000  0.0000  12 Cr 2.39-2.66
Cr  0.2387  0.7387  0.4775  6 Cr 2.32-2.40, 2 Be 2.46
Cr  0.7613  0.2613  0.5225  6 Cr 2.32-2.40, 2 Be 2.46
Cr  0.5000  0.5000  0.0000  4 Cr 2.32, 4 Be 2.39



# 23
Entry from Alexandria via LeMat-Bulk: BeCr3 at its PBEsol-relaxed geometry (SCAN).

abc: 2.3554 3.9076 4.6149
angles: 90.00 100.05 90.00
With the nearest neighbours (Å) after each atom.
Fractional positions:
Be  0.0000  0.0000  0.0000  2 Be 2.36, 6 Cr 2.39-2.40
Cr  0.2632  0.5000  0.7544  6 Cr 2.35-2.46, 2 Be 2.39
Cr  0.5000  0.0000  0.5000  6 Cr 2.36-2.39, 2 Be 2.40
Cr  0.7368  0.5000  0.2456  6 Cr 2.35-2.46, 2 Be 2.39



# 24
Entry from Alexandria via LeMat-Bulk: Be2Cr at its PBEsol-relaxed geometry (SCAN).

## Properties
energy above the lowest structure with this stoichiometry: 396 meV per atom

abc: 2.2473 3.8640 6.6068
angles: 90.00 99.79 90.00
With the nearest neighbours (Å) after each atom.
Fractional positions:
Cr  0.7140  0.2500  0.4280  6 Cr 2.25-2.42, 4 Be 2.39-2.40
Cr  0.2860  0.7500  0.5720  6 Cr 2.25-2.42, 4 Be 2.39-2.40
Be  0.3960  0.2500  0.7920  8 Be 2.25-2.34, 2 Cr 2.40
Be  0.6040  0.7500  0.2080  8 Be 2.25-2.34, 2 Cr 2.40
Be  0.9484  0.7500  0.8967  10 Be 2.25-2.35, 2 Cr 2.39
Be  0.0516  0.2500  0.1033  10 Be 2.25-2.35, 2 Cr 2.39



# 25
Entry from Alexandria via LeMat-Bulk: Be2Cr at its PBEsol-relaxed geometry (SCAN).

## Properties
energy above the lowest structure with this stoichiometry: 0 meV per atom

abc: 4.1666 4.1666 6.8305
angles: 90.00 90.00 120.00
With the nearest neighbours (Å) after each atom.
Fractional positions:
Be  0.6595  0.8297  0.2500  6 Be 2.04-2.13
Be  0.1703  0.8297  0.2500  6 Be 2.04-2.13
Be  0.8297  0.6595  0.7500  6 Be 2.04-2.13
Be  0.0000  0.0000  0.0000  6 Be 2.10
Be  0.8297  0.1703  0.7500  6 Be 2.04-2.13
Be  0.3405  0.1703  0.7500  6 Be 2.04-2.13
Be  0.1703  0.3405  0.2500  6 Be 2.04-2.13
Be  0.0000  0.0000  0.5000  6 Be 2.10
Cr  0.3333  0.6667  0.9382  12 Be 2.43-2.45, 4 Cr 2.55-2.57
Cr  0.3333  0.6667  0.5618  12 Be 2.43-2.45, 4 Cr 2.55-2.57
Cr  0.6667  0.3333  0.0618  12 Be 2.43-2.45, 4 Cr 2.55-2.57
Cr  0.6667  0.3333  0.4382  12 Be 2.43-2.45, 4 Cr 2.55-2.57



# 26
Entry from Alexandria via LeMat-Bulk: BeCr3 at its PBEsol-relaxed geometry (SCAN).

abc: 4.3454 4.3454 4.3454
angles: 90.00 90.00 90.00
With the nearest neighbours (Å) after each atom.
Fractional positions:
Be  0.5000  0.5000  0.5000  12 Cr 2.43
Be  0.0000  0.0000  0.0000  12 Cr 2.43
Cr  0.7500  0.5000  0.0000  2 Cr 2.17, 4 Be 2.43
Cr  0.0000  0.7500  0.5000  2 Cr 2.17, 4 Be 2.43
Cr  0.5000  0.0000  0.2500  2 Cr 2.17, 4 Be 2.43
Cr  0.5000  0.0000  0.7500  2 Cr 2.17, 4 Be 2.43
Cr  0.0000  0.2500  0.5000  2 Cr 2.17, 4 Be 2.43
Cr  0.2500  0.5000  0.0000  2 Cr 2.17, 4 Be 2.43



# 27
Entry from Alexandria via LeMat-Bulk: BeCr3 at its PBEsol-relaxed geometry (SCAN).

abc: 2.2888 4.0504 4.5705
angles: 90.00 90.00 90.00
With the nearest neighbours (Å) after each atom.
Fractional positions:
Cr  0.5000  0.0000  0.5256  8 Cr 2.29-2.53, 2 Be 2.50
Cr  0.5000  0.5000  0.8237  6 Cr 2.29-2.49, 4 Be 2.48
Cr  0.0000  0.5000  0.3065  8 Cr 2.29-2.53, 2 Be 2.43
Be  0.0000  0.0000  0.0109  2 Be 2.29, 8 Cr 2.43-2.50



# 28
Entry from Alexandria via LeMat-Bulk: CsBeCr3 at its PBEsol-relaxed geometry (SCAN).

abc: 4.7156 4.7156 4.7156
angles: 90.00 90.00 90.00
With the nearest neighbours (Å) after each atom.
Fractional positions:
Cr  0.5000  0.0000  0.0000  2 Be 2.36
Cr  0.0000  0.0000  0.5000  2 Be 2.36
Cr  0.0000  0.5000  0.0000  2 Be 2.36
Cs  0.5000  0.5000  0.5000  12 Cr 3.33
Be  0.0000  0.0000  0.0000  6 Cr 2.36



no.,final energy (Ry/atom),DOS(E_F) (states/eV per cell)
1,-0.8144,3.6
2,-0.6028,2.8
3,-0.8912,2.0
4,-0.9688,1.7
5,-0.7415,0.9
6,-0.9672,3.8
7,-0.8926,1.9
8,-0.7263,1.8
9,-0.8478,3.6
10,-1.5438,2.1
11,-1.2762,3.0
12,-1.5232,3.6
13,-1.5415,3.3
14,-1.0587,2.1
15,-1.2836,2.8
16,-0.4044,2.6
17,-0.8043,5.6
18,-0.6632,1.4
19,-0.8170,3.1
20,-0.9353,4.3
21,-0.5873,1.0
22,-1.0876,2.3
23,-1.0890,2.2
24,-0.6494,2.9
25,-0.6785,4.3
26,-1.0944,6.2
27,-1.0768,2.8
28,-1.3582,0.7